Record 1
## La4SiNi3 (PBE)

Data for an optimized crystal structure of La4SiNi3.

Calculated values
crystal system	orthorhombic

a b c (Å): 4.3051 4.3345 10.0747
angles (deg): 90.00 90.00 90.00
Fractional positions:
La (0.0000, 0.0000, 0.0000)
La (0.0000, 0.5000, 0.2883)
La (0.5000, 0.0000, 0.4762)
La (0.5000, 0.5000, 0.7803)
Si (0.0000, 0.0000, 0.6879)
Ni (0.0000, 0.5000, 0.5789)
Ni (0.5000, 0.0000, 0.1964)
Ni (0.5000, 0.5000, 0.0847)

***

Record 2
## La3Si4Ni2 (PBE)

Data for an optimized crystal structure of La3Si4Ni2.

Calculated values
distance to the lowest polymorph of the same formula	0	meV per atom
crystal system	monoclinic

a b c (Å): 5.9979 5.9979 8.3086
angles (deg): 97.33 97.33 39.69
Fractional positions:
La (0.0000, 0.0000, 0.0000)
La (0.3355, 0.3355, 0.3381)
La (0.6645, 0.6645, 0.6619)
Si (0.0548, 0.0548, 0.3818)
Si (0.2795, 0.2795, 0.9326)
Si (0.7205, 0.7205, 0.0674)
Si (0.9452, 0.9452, 0.6182)
Ni (0.3925, 0.3925, 0.7226)
Ni (0.6075, 0.6075, 0.2774)

***

Record 3
## La2Si3Ni2 (PBE)

Data for an optimized crystal structure of La2Si3Ni2.

Calculated values
distance to the lowest polymorph of the same formula	40	meV per atom
crystal system	monoclinic

a b c (Å): 5.9298 5.9298 7.0561
angles (deg): 121.95 121.95 38.30
Fractional positions:
La (0.1358, 0.1358, 0.2630)
La (0.8642, 0.8642, 0.7370)
Si (0.3486, 0.3486, 0.0658)
Si (0.5000, 0.5000, 0.5000)
Si (0.6514, 0.6514, 0.9342)
Ni (0.1254, 0.1254, 0.7160)
Ni (0.8746, 0.8746, 0.2840)

***

Record 4
## LaSi2Ni (PBE)

Data for an optimized crystal structure of LaSi2Ni.

Calculated values
crystal system	monoclinic

a b c (Å): 4.3016 4.0410 4.5146
angles (deg): 90.00 107.04 90.00
Fractional positions:
La (0.0000, 0.0000, 0.0000)
Si (0.3105, 0.5000, 0.6586)
Si (0.6895, 0.5000, 0.3414)
Ni (0.5000, 0.0000, 0.5000)

***

Record 5
## LaSi2Ni9 (PBE)

Data for an optimized crystal structure of LaSi2Ni9.

Calculated values
crystal system	tetragonal

a b c (Å): 7.6446 7.6446 7.6446
angles (deg): 99.58 99.58 131.86
Fractional positions:
La (0.3750, 0.6250, 0.7500)
La (0.6250, 0.3750, 0.2500)
Si (0.0000, 0.0000, 0.0000)
Si (0.0000, 0.0000, 0.5000)
Si (0.0000, 0.5000, 0.0000)
Si (0.5000, 0.0000, 0.5000)
Ni (0.1250, 0.8750, 0.2500)
Ni (0.1429, 0.5644, 0.3287)
Ni (0.1429, 0.8141, 0.5785)
Ni (0.1859, 0.2644, 0.3287)
Ni (0.1859, 0.8571, 0.9215)
Ni (0.2644, 0.1859, 0.8287)
Ni (0.2644, 0.4356, 0.0785)
Ni (0.4356, 0.2644, 0.5785)
Ni (0.4356, 0.8571, 0.1713)
Ni (0.5644, 0.1429, 0.8287)
Ni (0.5644, 0.7356, 0.4215)
Ni (0.7356, 0.5644, 0.9215)
Ni (0.7356, 0.8141, 0.1713)
Ni (0.8141, 0.1429, 0.0785)
Ni (0.8141, 0.7356, 0.6713)
Ni (0.8571, 0.1859, 0.4215)
Ni (0.8571, 0.4356, 0.6713)
Ni (0.8750, 0.1250, 0.7500)

***

Record 6
## LaSiNi3 (PBE)

Data for an optimized crystal structure of LaSiNi3.

Calculated values
distance to the lowest polymorph of the same formula	0	meV per atom
crystal system	hexagonal

a b c (Å): 5.7109 5.7109 11.5283
angles (deg): 90.00 90.00 120.00
Fractional positions:
La (0.0000, 0.0000, 0.0000)
La (0.0000, 0.0000, 0.5000)
La (0.3333, 0.6667, 0.2500)
La (0.6667, 0.3333, 0.7500)
Si (0.3333, 0.6667, 0.6389)
Si (0.3333, 0.6667, 0.8611)
Si (0.6667, 0.3333, 0.1389)
Si (0.6667, 0.3333, 0.3611)
Ni (0.0000, 0.5000, 0.0000)
Ni (0.0000, 0.5000, 0.5000)
Ni (0.1394, 0.2788, 0.7500)
Ni (0.1394, 0.8606, 0.7500)
Ni (0.2788, 0.1394, 0.2500)
Ni (0.5000, 0.0000, 0.0000)
Ni (0.5000, 0.0000, 0.5000)
Ni (0.5000, 0.5000, 0.0000)
Ni (0.5000, 0.5000, 0.5000)
Ni (0.7212, 0.8606, 0.7500)
Ni (0.8606, 0.1394, 0.2500)
Ni (0.8606, 0.7212, 0.2500)

***

Record 7
## LaSi3Ni (PBE)

Data for an optimized crystal structure of LaSi3Ni.

Calculated values
crystal system	cubic

a b c (Å): 4.5514 4.5514 4.5514
angles (deg): 90.00 90.00 90.00
Fractional positions:
La (0.0000, 0.0000, 0.0000)
Si (0.0000, 0.5000, 0.5000)
Si (0.5000, 0.0000, 0.5000)
Si (0.5000, 0.5000, 0.0000)
Ni (0.5000, 0.5000, 0.5000)

***

Record 8
## LaSi2Ni (PBE)

Data for an optimized crystal structure of LaSi2Ni.

Calculated values
crystal system	tetragonal

a b c (Å): 8.3028 8.3028 8.3028
angles (deg): 146.96 146.96 47.43
Fractional positions:
La (0.0000, 0.0000, 0.0000)
La (0.7500, 0.2500, 0.5000)
Si (0.3737, 0.6250, 0.2487)
Si (0.3750, 0.6237, 0.7487)
Si (0.3763, 0.1250, 0.7513)
Si (0.8750, 0.6263, 0.2513)
Ni (0.2500, 0.7500, 0.5000)
Ni (0.5000, 0.5000, 0.0000)

***

Formation energy without anion corrections per entry: -0.430 -0.787 -0.626 -0.616 -0.466 -0.413 -0.124 -0.523 eV per atom